[1]
Entry from the Alexandria database: a relaxed Cs4Pb2Cl crystal (PBE).

a = 7.475 Å, b = 7.475 Å, c = 17.297 Å
α = 90.00°, β = 90.00°, γ = 90.00°
Space group I4/mmm (No. 139)
Unique sites:
Cs (0.000, 0.000, 0.192)
Cs (0.000, 0.500, 0.000)
Pb (0.000, 0.000, 0.417)
Cl (0.000, 0.000, 0.000)

## Properties
The value obtained for the energy relative to the elements, uncorrected is -12.24 kcal/mol of atoms.

---

[2]
Entry from the Alexandria database: a relaxed Dy3YTe6 crystal (PBE).

a = 12.8155 Å, b = 12.8155 Å, c = 15.4818 Å
α = 90.00°, β = 90.00°, γ = 120.00°
Space group R-3 (No. 148, hexagonal axes)
Unique sites:
Dy (0.0569, 0.2748, 0.2002)
Y (0.0000, 0.0000, 0.0000)
Y (0.0000, 0.0000, 0.5000)
Te (0.0157, 0.2097, 0.3937)
Te (0.0341, 0.1968, 0.8753)

## Properties
The excess energy over the best structure of this formula in the dataset is 0.0364 eV/atom. The value obtained for the energy relative to the elements, uncorrected is -30.86 kcal/mol of atoms.

---

For reference, total magnetic moment by record: 0.6, 0.0 μB per formula unit.
For reference, calculated volume by record: 69.03, 36.70 Å³/atom.
For reference, total energy by record: -2.34, -5.25 eV per atom.